1.
Crystalline CaBeOF2 at its relaxed geometry. Source: the Alexandria database, functional PBE.

Properties
Density ... 3.6 g/cm3
Distance to the lowest polymorph of the same formula ... 0 meV/atom
Size of the total moment ... 0.00 μB per cell
Formation energy (no corrections) ... -2.990 eV per atom

Lattice parameters (Å, degrees): 3.619 3.619 3.612 90.00 90.00 90.00
Space group P4/mmm (No. 123)
Asymmetric unit:
Ca 0.000 0.000 0.000
Be 0.500 0.500 0.500
O 0.500 0.500 0.000
F 0.000 0.500 0.500

***

2.
Crystalline CaBeO2F at its relaxed geometry. Source: the Alexandria database, functional PBE.

Properties
Density ... 2.1 g/cm3
Size of the total moment ... 1.02 μB per cell
Formation energy (no corrections) ... -0.714 eV per atom

Lattice parameters (Å, degrees): 4.344 4.344 4.180 90.00 90.00 90.00
Space group P4/mmm (No. 123)
Asymmetric unit:
Ca 0.000 0.000 0.000
Be 0.500 0.500 0.500
O 0.000 0.500 0.000
F 0.000 0.000 0.500

***

3.
Crystalline CaBeOF2 at its relaxed geometry. Source: the Alexandria database, functional PBE.

Properties
Density ... 2.1 g/cm3
Distance to the lowest polymorph of the same formula ... 1538 meV/atom
Size of the total moment ... 0.02 μB per cell
Formation energy (no corrections) ... -1.452 eV per atom

Lattice parameters (Å, degrees): 4.184 4.184 4.614 90.00 90.00 90.00
Space group P4/mmm (No. 123)
Asymmetric unit:
Ca 0.000 0.000 0.000
Be 0.500 0.500 0.500
O 0.000 0.000 0.500
F 0.000 0.500 0.000

***

4.
Crystalline Ca2Be2P2O9F at its relaxed geometry. Source: the Alexandria database, functional PBE.

Properties
Density ... 2.9 g/cm3
Size of the total moment ... 2.19 μB per cell
Formation energy (no corrections) ... -2.688 eV per atom

Lattice parameters (Å, degrees): 4.873 7.761 9.793 90.00 90.36 90.00
Space group Pc (No. 7)
Asymmetric unit:
Ca 0.000 0.133 0.000
Ca 0.005 0.363 0.339
Be 0.461 0.337 0.835
Be 0.540 0.163 0.506
P 0.471 0.020 0.250
P 0.529 0.483 0.088
O 0.244 0.146 0.210
O 0.325 0.408 0.979
O 0.339 0.143 0.816
O 0.358 0.469 0.715
O 0.645 0.032 0.624
O 0.662 0.353 0.525
O 0.673 0.097 0.360
O 0.758 0.354 0.125
O 0.790 0.347 0.858
F 0.216 0.160 0.495

***

5.
Crystalline CaBePF at its relaxed geometry. Source: the Alexandria database, functional PBE.

Properties
Density ... 2.8 g/cm3
Size of the total moment ... 0.00 μB per cell
Formation energy (no corrections) ... -1.932 eV per atom

Lattice parameters (Å, degrees): 3.725 3.725 8.531 90.00 90.00 90.00
Space group P4/nmm (No. 129, origin choice 2)
Asymmetric unit:
Ca 0.250 0.250 0.163
Be 0.250 0.750 0.500
P 0.250 0.250 0.648
F 0.250 0.750 0.000

***

6.
Crystalline Ca2BePbF at its relaxed geometry. Source: the Alexandria database, functional PBE.

Properties
Density ... 3.2 g/cm3
Size of the total moment ... 0.00 μB per cell
Formation energy (no corrections) ... -0.310 eV per atom

Lattice parameters (Å, degrees): 6.039 6.039 4.456 90.00 90.00 90.00
Space group P4/mmm (No. 123)
Asymmetric unit:
Ca 0.000 0.500 0.000
Be 0.000 0.000 0.500
Pb 0.000 0.000 0.000
F 0.500 0.500 0.500

***

7.
Crystalline Rb2CaBeF6 at its relaxed geometry. Source: the Alexandria database, functional PBE.

Properties
Density ... 3.9 g/cm3
Size of the total moment ... 0.00 μB per cell
Formation energy (no corrections) ... -3.149 eV per atom

Lattice parameters (Å, degrees): 5.841 5.841 8.276 90.00 90.00 90.00
Space group I4/mmm (No. 139)
Asymmetric unit:
Rb 0.000 0.500 0.250
Ca 0.000 0.000 0.000
Be 0.000 0.000 0.500
F 0.000 0.000 0.277
F 0.222 0.222 0.500

***

8.
Crystalline Rb2Ca2Be3F12 at its relaxed geometry. Source: the Alexandria database, functional PBE.

Properties
Density ... 2.8 g/cm3
Size of the total moment ... 0.00 μB per cell
Formation energy (no corrections) ... -3.437 eV per atom

Lattice parameters (Å, degrees): 10.675 10.675 10.675 90.00 90.00 90.00
Space group P2_13 (No. 198)
Asymmetric unit:
Rb 0.047 0.047 0.047
Rb 0.191 0.309 0.691
Ca 0.090 0.910 0.410
Ca 0.171 0.671 0.829
Be 0.010 0.224 0.374
F 0.013 0.082 0.726
F 0.016 0.088 0.319
F 0.044 0.818 0.224
F 0.084 0.856 0.767

***

9.
Crystalline RbCaBe2F at its relaxed geometry. Source: the Alexandria database, functional PBE.

Properties
Density ... 1.7 g/cm3
Size of the total moment ... 0.00 μB per cell
Formation energy (no corrections) ... 0.511 eV per atom

Lattice parameters (Å, degrees): 5.696 5.696 4.772 90.00 90.00 90.00
Space group P4/mmm (No. 123)
Asymmetric unit:
Rb 0.000 0.000 0.000
Ca 0.500 0.500 0.500
Be 0.000 0.500 0.000
F 0.000 0.000 0.500

***

10.
Crystalline RbCaBeF6 at its relaxed geometry. Source: the Alexandria database, functional PBE.

Properties
Density ... 2.7 g/cm3
Size of the total moment ... 1.05 μB per cell
Formation energy (no corrections) ... -2.855 eV per atom

Lattice parameters (Å, degrees): 5.4924 5.4924 5.9281 90.00 90.00 120.00
Space group P312 (No. 149)
Asymmetric unit:
Rb 0.0000 0.0000 0.0000
Ca 0.3333 0.6667 0.5000
Be 0.6667 0.3333 0.5000
F 0.4072 0.0671 0.6723

***

11.
Crystalline CaBeTc2F at its relaxed geometry. Source: the Alexandria database, functional PBE.

Properties
Density ... 3.5 g/cm3
Size of the total moment ... 6.01 μB per cell
Formation energy (no corrections) ... 2.258 eV per atom

Lattice parameters (Å, degrees): 5.058 5.058 4.914 90.00 90.00 90.00
Space group P4/mmm (No. 123)
Asymmetric unit:
Ca 0.000 0.000 0.000
Be 0.000 0.000 0.500
Tc 0.000 0.500 0.000
F 0.500 0.500 0.500

***

12.
Crystalline CaBe2TlF8 at its relaxed geometry. Source: the Alexandria database, functional PBE.

Properties
Density ... 4.6 g/cm3
Size of the total moment ... 0.00 μB per cell
Formation energy (no corrections) ... -2.982 eV per atom

Lattice parameters (Å, degrees): 4.9485 4.9485 21.2313 90.00 90.00 120.00
Space group R-3 (No. 148, hexagonal axes)
Asymmetric unit:
Ca 0.0000 0.0000 0.0000
Be 0.0000 0.0000 0.2445
Tl 0.0000 0.0000 0.5000
F 0.0000 0.0000 0.1712
F 0.0227 0.3833 0.9349

***

13.
Crystalline CaBeZnF6 at its relaxed geometry. Source: the Alexandria database, functional PBE.

Properties
Density ... 3.5 g/cm3
Size of the total moment ... 0.00 μB per cell
Formation energy (no corrections) ... -3.072 eV per atom

Lattice parameters (Å, degrees): 5.0577 5.0577 9.6718 90.00 90.00 120.00
Space group P-31c (No. 163)
Asymmetric unit:
Ca 0.0000 0.0000 0.0000
Be 0.3333 0.6667 0.2500
Zn 0.3333 0.6667 0.7500
F 0.0393 0.3822 0.1436

***

14.
Crystalline CaBe2Fe at its relaxed geometry. Source: the Alexandria database, functional PBE.

Properties
Density ... 3.3 g/cm3
Distance to the lowest polymorph of the same formula ... 580 meV/atom
Size of the total moment ... 3.88 μB per cell
ΔH_f (0 K) ... 700 meV/atom

Lattice parameters (Å, degrees): 3.908 3.908 7.598 90.00 90.00 90.00
Space group I-4m2 (No. 119)
Asymmetric unit:
Ca 0.000 0.000 0.000
Be 0.000 0.000 0.500
Be 0.000 0.500 0.250
Fe 0.000 0.500 0.750

***

15.
Crystalline CaBe2Fe at its relaxed geometry. Source: the Alexandria database, functional PBE.

Properties
Density ... 3.4 g/cm3
Distance to the lowest polymorph of the same formula ... 547 meV/atom
Size of the total moment ... 3.92 μB per cell
ΔH_f (0 K) ... 667 meV/atom

Lattice parameters (Å, degrees): 5.856 6.914 2.736 90.00 90.00 90.00
Space group Cmmm (No. 65)
Asymmetric unit:
Ca 0.000 0.000 0.000
Be 0.250 0.250 0.500
Fe 0.000 0.500 0.000

***

16.
Crystalline Ca2BeFe at its relaxed geometry. Source: the Alexandria database, functional PBE.

Properties
Density ... 3.0 g/cm3
Size of the total moment ... 11.23 μB per cell
ΔH_f (0 K) ... 668 meV/atom

Lattice parameters (Å, degrees): 6.872 6.872 6.872 90.00 90.00 90.00
Space group F-43m (No. 216)
Asymmetric unit:
Ca 0.000 0.000 0.000
Ca 0.250 0.250 0.250
Be 0.250 0.250 0.750
Fe 0.000 0.000 0.500

***

17.
Crystalline Ca2BeFe at its relaxed geometry. Source: the Alexandria database, functional PBE.

Properties
Density ... 2.6 g/cm3
Size of the total moment ... 3.08 μB per cell
ΔH_f (0 K) ... 308 meV/atom

Lattice parameters (Å, degrees): 3.980 4.258 10.907 90.00 90.00 90.00
Space group Amm2 (No. 38)
Asymmetric unit:
Ca 0.000 0.000 0.000
Ca 0.500 0.000 0.284
Be 0.500 0.000 0.598
Fe 0.000 0.000 0.686

***

18.
Crystalline Ca2BeFe at its relaxed geometry. Source: the Alexandria database, functional PBE.

Properties
Density ... 2.5 g/cm3
Size of the total moment ... 4.61 μB per cell
ΔH_f (0 K) ... 251 meV/atom

Lattice parameters (Å, degrees): 3.9076 3.9076 22.2491 90.00 90.00 120.00
Space group R3m (No. 160, hexagonal axes)
Asymmetric unit:
Ca 0.0000 0.0000 0.0000
Ca 0.0000 0.0000 0.1758
Be 0.0000 0.0000 0.4210
Fe 0.0000 0.0000 0.7548

***

19.
Crystalline CaBe2Fe2 at its relaxed geometry. Source: the Alexandria database, functional PBE.

Properties
Density ... 4.1 g/cm3
Distance to the lowest polymorph of the same formula ... 93 meV/atom
Size of the total moment ... 5.19 μB per cell
ΔH_f (0 K) ... 302 meV/atom

Lattice parameters (Å, degrees): 4.022 4.022 8.547 90.00 90.00 90.00
Space group I4/mmm (No. 139)
Asymmetric unit:
Ca 0.000 0.000 0.000
Be 0.000 0.500 0.250
Fe 0.000 0.000 0.365

***

20.
Crystalline Ca2BeFe at its relaxed geometry. Source: the Alexandria database, functional PBE.

Properties
Density ... 2.5 g/cm3
Size of the total moment ... 8.57 μB per cell
ΔH_f (0 K) ... 813 meV/atom

Lattice parameters (Å, degrees): 3.5506 3.5506 26.6081 90.00 90.00 120.00
Space group R-3m (No. 166, hexagonal axes)
Asymmetric unit:
Ca 0.0000 0.0000 0.2473
Be 0.0000 0.0000 0.5000
Fe 0.0000 0.0000 0.0000

***

21.
Crystalline CaBe2Fe at its relaxed geometry. Source: the Alexandria database, functional PBE.

Properties
Density ... 3.3 g/cm3
Distance to the lowest polymorph of the same formula ... 462 meV/atom
Size of the total moment ... 1.02 μB per cell
ΔH_f (0 K) ... 582 meV/atom

Lattice parameters (Å, degrees): 2.973 4.614 8.393 90.00 90.00 90.00
Space group Immm (No. 71)
Asymmetric unit:
Ca 0.000 0.000 0.000
Be 0.000 0.500 0.201
Fe 0.000 0.000 0.500

***

22.
Crystalline CaBe2Fe at its relaxed geometry. Source: the Alexandria database, functional PBE.

Properties
Density ... 3.1 g/cm3
Distance to the lowest polymorph of the same formula ... 588 meV/atom
Size of the total moment ... 1.84 μB per cell
ΔH_f (0 K) ... 708 meV/atom

Lattice parameters (Å, degrees): 4.041 4.041 3.683 90.00 90.00 90.00
Space group P4/mmm (No. 123)
Asymmetric unit:
Ca 0.000 0.000 0.000
Be 0.000 0.500 0.500
Fe 0.500 0.500 0.000